# 1
24
Lattice="3.781 0.000 0.000 0.000 12.842 -4.521 0.000 0.889 13.586" Properties=species:S:1:pos:R:3 comment="Nd11Cd4Hg9, relaxed, DFT PBE-GGA" spacegroup="Cmmm (65)" delta_e_f_ev_per_atom=-0.387 pbc="T T T"
Nd 0.000 8.476 10.028
Nd 0.000 5.256 -0.963
Nd 0.000 12.552 3.853
Nd 0.000 1.180 5.211
Nd 0.000 8.459 2.119
Nd 0.000 5.273 6.945
Nd 0.000 10.602 -1.128
Nd 0.000 3.130 10.192
Nd 0.000 0.000 0.000
Nd 0.000 10.725 7.080
Nd 0.000 3.007 1.985
Cd 1.890 8.013 7.283
Cd 1.890 5.719 1.782
Cd 1.890 9.846 4.506
Cd 1.890 3.886 4.559
Hg 1.890 7.953 -0.659
Hg 1.890 5.779 9.724
Hg 1.890 2.519 7.572
Hg 1.890 11.213 1.493
Hg 1.890 11.142 9.798
Hg 1.890 2.590 -0.733
Hg 1.890 13.388 6.395
Hg 1.890 0.344 2.670
Hg 1.890 6.866 4.532

# 2
7
Lattice="-4.739 -1.943 0.239 -1.673 -2.151 4.343 -5.026 5.991 4.057" Properties=species:S:1:pos:R:3 comment="Tm4Cd2Ag, relaxed, DFT PBE-GGA" spacegroup="R-3m (166)" delta_e_f_ev_per_atom=-0.124 pbc="T T T"
Tm -7.506 -1.307 5.540
Tm -3.932 3.205 3.099
Tm -4.655 -1.761 3.388
Tm -6.783 3.658 5.252
Ag 0.000 0.000 0.000
Cd -8.577 1.421 6.479
Cd -2.860 0.476 2.160

# 3
10
Lattice="3.725 0.000 0.000 1.862 6.509 0.500 -0.001 -0.190 12.838" Properties=species:S:1:pos:R:3 comment="TbSm3Cd, relaxed, DFT PBE-GGA" spacegroup="P-1 (2)" delta_e_f_ev_per_atom=-0.109 pbc="T T T"
Tb 1.863 3.399 9.927
Tb 3.723 2.920 3.412
Sm 1.863 4.519 6.068
Sm 1.860 1.743 0.454
Sm 1.861 5.966 2.904
Sm 3.724 1.800 7.270
Sm 3.725 0.353 10.435
Sm 3.726 4.576 12.884
Cd 3.725 5.608 8.502
Cd 1.861 0.711 4.837

# 4
8
Lattice="-1.625 0.639 -3.009 3.001 -0.419 -1.710 -1.955 -9.813 -1.029" Properties=species:S:1:pos:R:3 comment="CaMnCuC, relaxed, DFT PBE-GGA" spacegroup="P4/nmm (129)" delta_e_f_ev_per_atom=-0.035 pbc="T T T"
Ca 0.544 -2.281 -3.796
Ca -1.124 -7.311 -1.952
Mn -0.469 0.375 -2.684
Mn 1.844 -0.154 -2.035
Cu 0.867 -5.060 -2.549
Cu -1.446 -4.532 -3.199
C -0.748 -8.767 -4.476
C 0.168 -0.825 -1.272

# 5
30
Lattice="-3.083 0.026 -5.136 5.814 0.858 -1.155 0.730 -27.011 10.050" Properties=species:S:1:pos:R:3 comment="HoTm12Sc2, relaxed, DFT PBE-GGA" spacegroup="C2/m (12)" delta_e_f_ev_per_atom=0.039 pbc="T T T"
Ho -1.540 0.013 -2.570
Ho 2.908 0.429 -0.580
Tm 2.794 -20.926 4.162
Tm 1.428 -21.368 7.307
Tm 3.238 -24.381 3.895
Tm 4.556 -22.663 6.598
Tm 5.532 -8.102 1.347
Tm 3.355 -3.049 -0.851
Tm 0.612 -15.875 1.969
Tm 1.085 -8.518 -0.643
Tm 1.871 -24.823 7.040
Tm 1.591 -1.304 -3.285
Tm 1.930 -14.160 4.669
Tm -1.602 -10.667 -0.198
Tm -2.074 -18.024 2.414
Tm 0.162 -12.408 2.238
Tm 0.227 -1.746 -0.139
Tm 1.528 -11.966 -0.908
Tm 3.295 -13.718 1.525
Tm 2.033 -4.759 -3.549
Tm 5.061 -15.459 3.959
Tm 2.375 -17.609 4.405
Tm 0.108 -23.079 4.607
Tm 0.669 -5.200 -0.404
Tm 2.846 -10.251 1.793
Tm -1.094 -3.464 -2.840
Sc 3.783 -6.429 -1.102
Sc 2.417 -6.872 2.045
Sc 1.043 -19.255 1.716
Sc -0.322 -19.697 4.861

# 6
3
Lattice="-3.428 -0.522 1.371 -0.163 -4.166 -1.994 1.650 0.444 4.294" Properties=species:S:1:pos:R:3 comment="ThAlV, relaxed, DFT PBE-GGA" spacegroup="P-6m2 (187)" delta_e_f_ev_per_atom=0.085 pbc="T T T"
Al -0.571 -0.087 0.228
Th -1.239 -1.441 3.112
V -0.131 -2.717 0.331

# 7
4
Lattice="9.816 -0.006 -0.003 9.038 3.831 -0.003 9.038 1.834 3.363" Properties=species:S:1:pos:R:3 comment="CaY2P, relaxed, DFT PBE-GGA" spacegroup="R-3m (166)" delta_e_f_ev_per_atom=-0.744 pbc="T T T"
Y 0.811 0.165 0.098
Y 13.135 2.665 1.581
P 20.919 4.244 2.518
Ca 6.973 1.415 0.839

# 8
10
Lattice="-0.608 2.269 -2.263 -4.528 -6.070 -2.514 -7.801 3.498 5.603" Properties=species:S:1:pos:R:3 comment="HoSc3Al, relaxed, DFT PBE-GGA" spacegroup="P2_1/m (11)" delta_e_f_ev_per_atom=0.024 pbc="T T T"
Ho -4.320 -2.265 0.062
Ho -8.616 1.962 0.765
Sc -1.461 0.826 -2.305
Sc -11.476 -1.128 3.131
Sc -5.157 2.483 0.349
Sc -7.780 -2.786 0.477
Sc -6.451 -2.999 -2.447
Sc -6.486 2.696 3.273
Al -3.079 0.445 0.097
Al -9.857 -0.748 0.729

# 9
18
Lattice="6.901 -0.074 0.000 -2.335 6.519 0.000 0.000 0.000 6.909" Properties=species:S:1:pos:R:3 comment="Er2Tc3Ge4, relaxed, DFT PBE-GGA" spacegroup="P2_1/c (14)" delta_e_f_ev_per_atom=-0.570 pbc="T T T"
Er 3.360 1.214 2.282
Er 4.657 5.194 5.736
Er 1.206 5.231 4.627
Er -0.091 1.251 1.173
Tc -1.167 3.259 3.454
Tc 2.283 3.222 0.000
Tc 4.676 1.490 5.908
Tc 3.341 4.918 2.453
Tc -0.110 4.955 1.001
Tc 1.225 1.527 4.456
Ge 5.750 0.605 3.819
Ge 2.266 5.802 0.365
Ge -1.185 5.839 3.090
Ge 2.300 0.643 6.544
Ge 4.759 3.282 1.008
Ge 3.257 3.125 4.463
Ge -0.193 3.162 5.901
Ge 1.309 3.320 2.446

# 10
4
Lattice="5.312 0.000 0.000 2.656 4.600 0.000 2.656 1.533 4.337" Properties=species:S:1:pos:R:3 comment="DyErInSn, relaxed, DFT PBE-GGA" spacegroup="F-43m (216)" delta_e_f_ev_per_atom=-0.488 pbc="T T T"
Dy 5.312 3.067 2.169
In 7.968 4.600 3.253
Sn 2.656 1.533 1.084
Er 0.000 0.000 0.000

# 11
4
Lattice="4.223 0.000 0.000 0.000 4.223 0.000 0.000 0.000 3.170" Properties=species:S:1:pos:R:3 comment="InCo2Tc, relaxed, DFT PBE-GGA" spacegroup="P4/mmm (123)" delta_e_f_ev_per_atom=0.247 pbc="T T T"
Co 0.000 0.000 0.000
Co 2.112 2.112 0.000
In 2.112 0.000 1.585
Tc 0.000 2.112 1.585

# 12
10
Lattice="4.673 -0.567 -0.101 -2.826 4.752 0.632 -2.251 -0.465 5.079" Properties=species:S:1:pos:R:3 comment="ThB2HO6, relaxed, DFT PBE-GGA" spacegroup="P1 (1)" pbc="T T T"
Th 1.905 1.499 2.637
B -0.076 3.454 1.401
B -0.183 0.164 4.317
H -0.611 3.502 5.392
O -2.487 4.169 3.798
O 2.037 -0.131 0.583
O 1.184 3.257 0.858
O -0.460 2.455 2.246
O 0.713 1.287 4.556
O -1.561 0.528 4.006

# 13
6
Lattice="-5.550 1.410 -3.127 -0.086 0.308 -6.517 -3.068 -4.615 -3.444" Properties=species:S:1:pos:R:3 comment="KEuTl4, relaxed, DFT PBE-GGA" spacegroup="F-43m (216)" delta_e_f_ev_per_atom=-0.164 pbc="T T T"
Eu 0.000 0.000 0.000
Tl -3.905 0.499 -6.458
Tl -5.399 -1.965 -4.919
Tl -5.441 -1.811 -8.182
Tl -2.662 -2.517 -6.616
K -2.176 -0.724 -3.272

# 14
7
Lattice="4.915 0.000 0.000 0.000 4.915 0.000 0.000 0.000 7.785" Properties=species:S:1:pos:R:3 comment="PrTl5Pd, relaxed, DFT PBE-GGA" spacegroup="P4/mmm (123)" delta_e_f_ev_per_atom=-0.232 pbc="T T T"
Pr 0.000 0.000 0.000
Tl 2.458 0.000 5.455
Tl 0.000 2.458 5.455
Tl 2.458 2.458 0.000
Tl 0.000 2.458 2.330
Tl 2.458 0.000 2.330
Pd 0.000 0.000 3.893

# 15
10
Lattice="7.052 0.000 0.000 0.000 7.052 0.000 0.000 0.000 4.263" Properties=species:S:1:pos:R:3 comment="Zr2Sb2Rh, relaxed, DFT PBE-GGA" spacegroup="P4/mbm (127)" pbc="T T T"
Sb 2.481 6.007 0.000
Sb 6.007 4.572 0.000
Sb 4.572 1.046 0.000
Sb 1.046 2.481 0.000
Rh 0.000 0.000 0.000
Rh 3.526 3.526 0.000
Zr 1.129 4.655 2.131
Zr 4.655 5.923 2.131
Zr 5.923 2.397 2.131
Zr 2.397 1.129 2.131

# 16
4
Lattice="-2.535 -7.431 -3.709 0.387 -7.995 -3.366 -1.509 -8.480 -1.098" Properties=species:S:1:pos:R:3 comment="InPW2, relaxed, DFT PBE-GGA" spacegroup="R-3m (166)" delta_e_f_ev_per_atom=0.324 pbc="T T T"
In -0.914 -5.976 -2.043
P -2.742 -17.929 -6.129
W -0.043 -0.283 -0.097
W -1.785 -11.670 -3.990

# 17
5
Lattice="4.663 0.000 0.000 0.000 4.663 0.000 0.000 0.000 3.372" Properties=species:S:1:pos:R:3 comment="LiReSe2N, relaxed, DFT PBE-GGA" spacegroup="P4/mmm (123)" pbc="T T T"
Re 2.331 2.331 1.686
Li 0.000 0.000 0.000
Se 0.000 2.331 0.000
Se 2.331 0.000 0.000
N 0.000 0.000 1.686

# 18
5
Lattice="3.742 -5.583 2.287 2.884 0.809 6.436 -6.475 0.923 -2.761" Properties=species:S:1:pos:R:3 comment="HgSb4, relaxed, DFT PBE-GGA" spacegroup="I4/mmm (139)" pbc="T T T"
Hg 0.000 0.000 0.000
Sb 0.290 -3.523 1.944
Sb -0.139 -0.327 4.019
Sb 4.231 -3.049 5.571
Sb 2.394 -1.725 3.152

# 19
4
Lattice="-2.265 10.641 -2.244 -3.887 10.392 0.538 -0.729 11.070 0.564" Properties=species:S:1:pos:R:3 comment="Ca2ScRe, relaxed, DFT PBE-GGA" spacegroup="R-3m (166)" delta_e_f_ev_per_atom=0.740 pbc="T T T"
Sc -5.161 24.077 -0.857
Re -1.720 8.026 -0.286
Ca -6.802 31.731 -1.129
Ca -3.521 16.423 -0.584

# 20
7
Lattice="-2.509 -1.740 -2.523 2.049 -3.653 3.592 -5.317 3.619 2.791" Properties=species:S:1:pos:R:3 comment="Ho2Ge2Pd3, relaxed, DFT PBE-GGA" spacegroup="C2/m (12)" delta_e_f_ev_per_atom=-0.893 pbc="T T T"
Ho -1.917 -3.383 1.132
Ho -3.859 1.609 2.728
Ge -4.884 -1.128 2.526
Ge -0.893 -0.646 1.334
Pd -1.254 -0.870 -1.261
Pd -3.379 -0.394 0.523
Pd -2.397 -1.381 3.337

# 21
4
Lattice="5.155 0.000 0.000 0.000 4.957 -0.008 -2.578 -2.466 5.599" Properties=species:S:1:pos:R:3 comment="KInSnHg, relaxed, DFT PBE-GGA" spacegroup="Imm2 (44)" delta_e_f_ev_per_atom=-0.086 pbc="T T T"
K 0.000 2.280 3.557
In 2.578 2.272 0.755
Sn 2.578 -0.205 2.174
Hg 2.578 -0.191 5.087

# 22
16
Lattice="5.982 0.000 0.000 0.000 5.998 0.087 0.000 -0.718 11.036" Properties=species:S:1:pos:R:3 comment="La2SeN, relaxed, DFT PBE-GGA" spacegroup="P2/c (13)" pbc="T T T"
La 4.608 5.311 10.044
La 1.373 -0.031 1.079
La 4.608 2.609 6.640
La 1.373 2.671 4.482
La 4.634 2.698 1.717
La 1.348 2.582 9.405
La 4.634 -0.058 3.844
La 1.348 5.338 7.279
Se 1.621 5.696 4.224
Se 4.360 -0.416 6.899
Se 1.621 2.942 1.424
Se 4.360 2.338 9.699
N 1.072 2.953 6.927
N 4.909 2.327 4.196
N 1.072 4.967 9.757
N 4.909 0.313 1.365

# 23
5
Lattice="-1.064 -3.542 3.189 0.311 -3.313 -3.575 4.756 -0.576 0.948" Properties=species:S:1:pos:R:3 comment="BaP3Pt, relaxed, DFT PBE-GGA" spacegroup="Pm-3m (221)" delta_e_f_ev_per_atom=-0.025 pbc="T T T"
P 0.156 -1.656 -1.787
P 2.378 -0.288 0.474
P -0.532 -1.771 1.595
Ba 2.001 -3.715 0.281
Pt 0.000 0.000 0.000

Number 1: DOS at the Fermi energy 1.019 states/eV/atom, calculated total energy -2.84 eV/atom. Number 2: DOS at the Fermi energy 1.044 states/eV/atom, calculated total energy -3.35 eV/atom. Number 3: DOS at the Fermi energy 1.333 states/eV/atom, calculated total energy -4.05 eV/atom. Number 4: DOS at the Fermi energy 0.536 states/eV/atom, calculated total energy -6.16 eV/atom. Number 5: DOS at the Fermi energy 1.553 states/eV/atom, calculated total energy -4.69 eV/atom. Number 6: DOS at the Fermi energy 1.015 states/eV/atom, calculated total energy -6.68 eV/atom. Number 7: DOS at the Fermi energy 1.260 states/eV/atom, calculated total energy -5.83 eV/atom. Number 8: DOS at the Fermi energy 1.523 states/eV/atom, calculated total energy -5.44 eV/atom. Number 9: DOS at the Fermi energy 0.403 states/eV/atom, calculated total energy -7.09 eV/atom. Number 10: DOS at the Fermi energy 0.760 states/eV/atom, calculated total energy -4.46 eV/atom. Number 11: DOS at the Fermi energy 0.368 states/eV/atom, calculated total energy -6.58 eV/atom. Number 12: DOS at the Fermi energy 0.114 states/eV/atom, calculated total energy -7.73 eV/atom. Number 13: DOS at the Fermi energy 2.587 states/eV/atom, calculated total energy -3.64 eV/atom. Number 14: DOS at the Fermi energy 0.609 states/eV/atom, calculated total energy -3.35 eV/atom. Number 15: DOS at the Fermi energy 0.877 states/eV/atom, calculated total energy -7.00 eV/atom. Number 16: DOS at the Fermi energy 0.834 states/eV/atom, calculated total energy -8.19 eV/atom. Number 17: DOS at the Fermi energy 0.671 states/eV/atom, calculated total energy -4.59 eV/atom. Number 18: DOS at the Fermi energy 0.410 states/eV/atom, calculated total energy -3.17 eV/atom. Number 19: DOS at the Fermi energy 1.003 states/eV/atom, calculated total energy -4.96 eV/atom. Number 20: DOS at the Fermi energy 0.429 states/eV/atom, calculated total energy -5.75 eV/atom. Number 21: DOS at the Fermi energy 0.431 states/eV/atom, calculated total energy -2.12 eV/atom. Number 22: DOS at the Fermi energy 0.422 states/eV/atom, calculated total energy -6.99 eV/atom. Number 23: DOS at the Fermi energy 1.526 states/eV/atom, calculated total energy -4.86 eV/atom.